# LiAlAg2 GGA-PBEsol relaxed
data_LiAlAg2
_symmetry_space_group_name_H-M 'P m m 2'
_symmetry_Int_Tables_number 25
_cell_length_a 2.824
_cell_length_b 4.067
_cell_length_c 5.466
_cell_angle_alpha 90.00
_cell_angle_beta 90.00
_cell_angle_gamma 90.00
loop_
_symmetry_equiv_pos_as_xyz
'x,y,z'
'-x,-y,z'
'-x,y,z'
'x,-y,z'
loop_
_atom_site_label
_atom_site_type_symbol
_atom_site_fract_x
_atom_site_fract_y
_atom_site_fract_z
Li1 Li 0.000 0.000 0.000
Al1 Al 0.500 0.500 0.723
Ag1 Ag 0.000 0.000 0.505
Ag2 Ag 0.500 0.500 0.218
# energy of formation = -0.169 eV/atom
# N(E_F) = 1.3 states/eV/f.u.
# DFT total energy = -13.36 eV per cell

---

# Ce2CrN3 GGA-PBEsol relaxed
data_Ce2CrN3
_symmetry_space_group_name_H-M 'I m m m'
_symmetry_Int_Tables_number 71
_symmetry_space_group_name_Hall '-I 2 2'
_cell_length_a 3.399
_cell_length_b 3.694
_cell_length_c 12.460
_cell_angle_alpha 90.00
_cell_angle_beta 90.00
_cell_angle_gamma 90.00
loop_
_atom_site_label
_atom_site_type_symbol
_atom_site_fract_x
_atom_site_fract_y
_atom_site_fract_z
Ce1 Ce 0.000 0.000 0.147
Cr1 Cr 0.000 0.000 0.500
N1 N 0.000 0.000 0.337
N2 N 0.000 0.500 0.500
# N(E_F) = 4.6 states/eV/f.u.
# DFT total energy = -114.79 eV per cell
# ΔE_f (raw) = -1.397 eV/atom

---

# Tb5Mg GGA-PBEsol relaxed
data_Tb5Mg
_symmetry_space_group_name_H-M 'R 3 2'
_symmetry_Int_Tables_number 155
_symmetry_space_group_name_Hall 'R 3 2"'
_cell_length_a 6.0437
_cell_length_b 6.0437
_cell_length_c 16.4399
_cell_angle_alpha 90.00
_cell_angle_beta 90.00
_cell_angle_gamma 120.00
loop_
_atom_site_label
_atom_site_type_symbol
_atom_site_fract_x
_atom_site_fract_y
_atom_site_fract_z
Tb1 Tb 0.0000 0.0000 0.1662
Tb2 Tb 0.0000 0.6552 0.0000
Mg1 Mg 0.0000 0.0000 0.5000
# energy of formation = 0.010 eV/atom
# N(E_F) = 7.4 states/eV/f.u.
# distance to the lowest polymorph of the same formula = 0 meV/atom
# DFT total energy = -80.11 eV per cell

---

# CdAg2Pb2 GGA-PBEsol relaxed
data_CdAg2Pb2
_symmetry_space_group_name_H-M 'P 4/m b m'
_symmetry_Int_Tables_number 127
_symmetry_space_group_name_Hall '-P 4 2ab'
_cell_length_a 7.286
_cell_length_b 7.286
_cell_length_c 4.346
_cell_angle_alpha 90.00
_cell_angle_beta 90.00
_cell_angle_gamma 90.00
loop_
_atom_site_label
_atom_site_type_symbol
_atom_site_fract_x
_atom_site_fract_y
_atom_site_fract_z
Cd1 Cd 0.000 0.000 0.000
Ag1 Ag 0.135 0.365 0.000
Pb1 Pb 0.167 0.667 0.500
# energy of formation = 0.085 eV/atom
# N(E_F) = 2.1 states/eV/f.u.
# DFT total energy = -30.79 eV per cell

---

# ZnMoP2Pb GGA-PBEsol relaxed
data_ZnMoP2Pb
_symmetry_space_group_name_H-M 'P 4/m m m'
_symmetry_Int_Tables_number 123
_symmetry_space_group_name_Hall '-P 4 2'
_cell_length_a 5.090
_cell_length_b 5.090
_cell_length_c 5.331
_cell_angle_alpha 90.00
_cell_angle_beta 90.00
_cell_angle_gamma 90.00
loop_
_atom_site_label
_atom_site_type_symbol
_atom_site_fract_x
_atom_site_fract_y
_atom_site_fract_z
Zn1 Zn 0.000 0.000 0.000
Mo1 Mo 0.500 0.500 0.000
P1 P 0.000 0.500 0.500
Pb1 Pb 0.500 0.500 0.500
# energy of formation = 1.987 eV/atom
# N(E_F) = 4.2 states/eV/f.u.
# DFT total energy = -19.00 eV per cell

---

# Mg2SiAu GGA-PBEsol relaxed
data_Mg2SiAu
_symmetry_space_group_name_H-M 'A m m 2'
_symmetry_Int_Tables_number 38
_cell_length_a 4.189
_cell_length_b 3.419
_cell_length_c 10.096
_cell_angle_alpha 90.00
_cell_angle_beta 90.00
_cell_angle_gamma 90.00
loop_
_symmetry_equiv_pos_as_xyz
'x,y,z'
'-x,-y,z'
'-x,y,z'
'x,-y,z'
'x,y+1/2,z+1/2'
'-x,-y+1/2,z+1/2'
'-x,y+1/2,z+1/2'
'x,-y+1/2,z+1/2'
loop_
_atom_site_label
_atom_site_type_symbol
_atom_site_fract_x
_atom_site_fract_y
_atom_site_fract_z
Mg1 Mg 0.000 0.000 0.000
Mg2 Mg 0.500 0.000 0.315
Si1 Si 0.500 0.000 0.587
Au1 Au 0.000 0.000 0.728
# N(E_F) = 1.2 states/eV/f.u.
# DFT total energy = -28.82 eV per cell
# ΔE_f (raw) = -0.326 eV/atom